Entry from the Alexandria database: an optimized crystal structure of Li2CaPmPd2 (PBE).

For the formation energy from the elements, the calculation gives -2.86 eV per formula unit. The size of the total moment is 0.00 Bohr magnetons per cell. Its density of states at the Fermi level is 0.4051 states/eV per atom.

The structure belongs to space group P-3m1 (No. 164); the cell edges are 4.3907, 4.3907 and 7.6502 Å and the angles 90.00°, 90.00° and 120.00°. The distinct sites, in fractional coordinates, are Li at (0.3333, 0.6667, 0.2365), Ca at (0.0000, 0.0000, 0.0000), Pm at (0.0000, 0.0000, 0.5000) and Pd at (0.3333, 0.6667, 0.7343).